1.
Material: AcTbNbO6
Method: DFT, PBE
State: optimized geometry

Computed properties:
The value obtained for the formation energy (no corrections) is -2.833 eV/atom. Its crystal system is tetragonal.

a = 5.207 Å, b = 5.207 Å, c = 10.565 Å
α = 90.00°, β = 90.00°, γ = 90.00°
Each line ends with the local moment (μB).
Positions (direct):
O 0.308 0.308 0.302  0.16
O 0.808 0.192 0.802  0.16
O 0.726 0.726 0.682  0.17
O 0.173 0.827 0.515  0.10
O 0.774 0.226 0.182  0.17
O 0.327 0.327 0.015  0.10
O 0.274 0.274 0.682  0.17
O 0.673 0.673 0.015  0.10
O 0.692 0.692 0.302  0.16
O 0.226 0.774 0.182  0.17
O 0.192 0.808 0.802  0.16
O 0.827 0.173 0.515  0.10
Nb 0.000 0.000 0.667  -0.06
Nb 0.500 0.500 0.167  -0.06
Tb 0.000 0.000 0.335  -0.02
Tb 0.500 0.500 0.835  -0.02
Ac 0.000 0.000 0.001  0.02
Ac 0.500 0.500 0.501  0.02

=====

2.
Material: BaAc4Co
Method: DFT, PBE
State: optimized geometry

Computed properties:
The energy relative to the elements is 0.047 eV/atom. Its crystal system is orthorhombic.

a = 6.191 Å, b = 8.208 Å, c = 10.516 Å
α = 90.00°, β = 107.12°, γ = 90.00°
Positions (direct):
Ac 0.500 0.530 0.000
Ac 0.117 0.781 0.234
Ac 0.696 0.540 0.393
Ac 0.304 0.040 0.607
Ac 0.500 0.030 0.000
Ac 0.304 0.522 0.608
Ac 0.883 0.281 0.766
Ac 0.696 0.022 0.392
Co 0.405 0.280 0.810
Co 0.595 0.780 0.190
Ba 0.108 0.281 0.215
Ba 0.892 0.781 0.785

=====

| no. | magnetic moment (μB per formula unit) | N(E_F) (states/eV per cell) | electronic total energy (eV/cell) |
| --- | --- | --- | --- |
| 1 | 0.96 | 11.3 | -148.1 |
| 2 | 0.00 | 14.8 | -50.4 |